Entry one
A relaxed structure of NaCrGe. Source: Alexandria via LeMat-Bulk, functional PBE-GGA.

Results
The space-group type is No. 2. The calculation puts the size of the total moment at 0.000 μB per cell. Its volume is 20.4 Å³/atom. The theoretical density is 4.00 g/cm³.

Unit cell a=3.0136 b=4.3690 c=9.9788 alpha=83.26 beta=89.73 gamma=69.98
Closest atoms and distances in Å follow each position.
Fractional coordinates of all 6 atoms:
Na 0.1695 0.1760 0.1524  3 Ge 3.00-3.08, 2 Na 3.01, 2 Cr 3.35
Na 0.8305 0.8240 0.8476  3 Ge 3.00-3.08, 2 Na 3.01, 2 Cr 3.35
Cr 0.3411 0.8141 0.5481  2 Cr 2.27, 1 Ge 2.46
Cr 0.6589 0.1859 0.4519  2 Cr 2.27, 1 Ge 2.46
Ge 0.0823 0.3305 0.6496  5 Cr 2.46-2.61
Ge 0.9177 0.6695 0.3504  5 Cr 2.46-2.61



Entry two
A relaxed structure of NaCrGe. Source: Alexandria via LeMat-Bulk, functional PBE-GGA.

Results
The space-group type is No. 11. The calculation puts the size of the total moment at 0.000 μB per cell. Its volume is 17.9 Å³/atom. The theoretical density is 4.57 g/cm³.

Unit cell a=4.1395 b=3.1707 c=8.1692 alpha=90.00 beta=91.87 gamma=90.00
Closest atoms and distances in Å follow each position.
Fractional coordinates of all 6 atoms:
Na 0.2389 0.2500 0.3746  4 Ge 2.93-2.94, 2 Na 3.17, 2 Cr 3.26
Na 0.7611 0.7500 0.6254  4 Ge 2.93-2.94, 2 Na 3.17, 2 Cr 3.26
Cr 0.2033 0.7500 0.0256  2 Cr 2.34, 4 Ge 2.51-2.60
Cr 0.7967 0.2500 0.9744  2 Cr 2.34, 4 Ge 2.51-2.60
Ge 0.2725 0.2500 0.7904  4 Cr 2.51-2.60
Ge 0.7275 0.7500 0.2096  4 Cr 2.51-2.60



Entry three
A relaxed structure of NaCrGe. Source: Alexandria via LeMat-Bulk, functional PBE-GGA.

Results
The space-group type is No. 11. The calculation puts the size of the total moment at 0.000 μB per cell. Its volume is 18.1 Å³/atom. The theoretical density is 4.50 g/cm³.

Unit cell a=3.0184 b=3.0184 c=11.9484 alpha=90.00 beta=90.10 gamma=90.00
Closest atoms and distances in Å follow each position.
Fractional coordinates of all 6 atoms:
Na 0.2470 0.2500 0.1351  4 Na 3.02, 4 Ge 3.09-3.10
Na 0.7530 0.7500 0.8649  4 Na 3.02, 4 Ge 3.09-3.10
Cr 0.2497 0.2500 0.4515  4 Cr 2.43, 5 Ge 2.63-2.70
Cr 0.7503 0.7500 0.5485  4 Cr 2.43, 5 Ge 2.63-2.70
Ge 0.2512 0.2500 0.6774  5 Cr 2.63-2.70
Ge 0.7488 0.7500 0.3226  5 Cr 2.63-2.70



Least stable = entry two



Entry one
A relaxed structure of NaCrGe. Source: Alexandria via LeMat-Bulk, functional PBE-GGA.

Results
The space-group type is No. 166. The calculation puts the size of the total moment at 0.000 μB per cell. Its volume is 21.5 Å³/atom. The theoretical density is 3.81 g/cm³.

Unit cell a=9.6908 b=9.6908 c=9.6908 alpha=23.66 beta=23.66 gamma=23.66
Closest atoms and distances in Å follow each position.
Fractional coordinates of all 6 atoms:
Na 0.2185 0.2185 0.2185  3 Ge 2.97
Na 0.7815 0.7815 0.7815  3 Ge 2.97
Cr 0.3369 0.3369 0.3369  3 Cr 2.30
Cr 0.6631 0.6631 0.6631  3 Cr 2.30
Ge 0.0479 0.0479 0.0479  6 Cr 2.61-2.72, 1 Ge 2.71
Ge 0.9521 0.9521 0.9521  6 Cr 2.61-2.72, 1 Ge 2.71



Entry two
A relaxed structure of NaCrGe. Source: Alexandria via LeMat-Bulk, functional PBE-GGA.

Results
The space-group type is No. 1. The calculation puts the size of the total moment at 0.051 μB per cell. Its volume is 21.0 Å³/atom. The theoretical density is 3.89 g/cm³.

Unit cell a=3.0170 b=4.3383 c=10.2665 alpha=86.64 beta=86.01 gamma=70.14
Closest atoms and distances in Å follow each position.
Fractional coordinates of all 6 atoms:
Na 0.0000 0.0000 0.0000  2 Na 3.02, 3 Ge 3.03-3.06, 2 Cr 3.30-3.33
Na 0.4294 0.4592 0.2927  3 Ge 2.93-3.01, 2 Na 3.02
Cr 0.6215 0.9103 0.7151  4 Ge 2.45-2.54, 2 Cr 2.46-2.48
Cr 0.9503 0.3027 0.5999  2 Cr 2.46-2.48, 5 Ge 2.64-2.70
Ge 0.3225 0.4562 0.8070  5 Cr 2.45-2.70
Ge 0.6801 0.8872 0.4738  4 Cr 2.48-2.67



Least stable = entry two